VASP calculation (PBE) on a relaxed Rb3CdAu crystal.

Output
Calculated formation energy: -128.9 meV per atom
E_tot: -1.548 eV/atom
E above lowest polymorph: 0.00 eV/f.u.
D(E_F): 4.63 states/eV per cell

Geometry as POSCAR:
```
Rb3CdAu
1.0
-3.664 2.947 -1.624
-5.925 -9.289 -3.488
-3.861 -0.495 7.874
Rb Cd Au
6 2 2
Cartesian
-2.349 0.192 1.916
-11.101 -7.029 0.847
-4.828 -3.695 0.456
-8.621 -3.142 2.306
-7.844 -0.594 5.334
-5.605 -6.243 -2.571
-6.070 -0.361 1.699
-7.379 -6.476 1.064
-4.826 -1.908 3.706
-8.623 -4.929 -0.943
```